Entry 1:
# PBE Pr4SbSe2N, relaxed
# Magnetic moment = 0.00 Bohr magnetons per cell
# Calculated density = 6.3 g cm⁻³
# Energy = -6.2945 eV/atom
# DOS(E_F) = 3.997 states/eV/f.u.
# Energy relative to the elements, uncorrected = -1.478 eV per atom
# Crystal system = orthorhombic
data_Pr4SbSe2N
_symmetry_space_group_name_H-M 'P 1'
_symmetry_Int_Tables_number 1
_cell_length_a 4.2204
_cell_length_b 7.4002
_cell_length_c 14.9910
_cell_angle_alpha 90.00
_cell_angle_beta 90.00
_cell_angle_gamma 106.57
loop_
_symmetry_equiv_pos_as_xyz
'x,y,z'
loop_
_atom_site_label
_atom_site_type_symbol
_atom_site_fract_x
_atom_site_fract_y
_atom_site_fract_z
Se1 Se 0.3627 0.7254 0.5560
Se2 Se 0.6373 0.2746 0.4440
Pr1 Pr 0.7299 0.4598 0.8690
Pr2 Pr 0.2701 0.5402 0.3690
Se3 Se 0.6373 0.2746 0.0560
Pr3 Pr 0.2701 0.5402 0.1310
Sb1 Sb 0.9000 0.8001 0.2500
Sb2 Sb 0.1000 0.1999 0.7500
Pr4 Pr 0.0000 0.0000 0.5000
Pr5 Pr 0.5803 0.1607 0.2500
Pr6 Pr 0.7299 0.4598 0.6310
Pr7 Pr 0.0000 0.0000 0.0000
Pr8 Pr 0.4197 0.8393 0.7500
Se4 Se 0.3627 0.7254 0.9440
N1 N 0.1681 0.3361 0.2500
N2 N 0.8319 0.6639 0.7500

---

Entry 2:
# PBE Pr4Sm2Sb3N2, relaxed
# Magnetic moment = 0.00 Bohr magnetons per cell
# Calculated density = 6.8 g cm⁻³
# Energy = -6.3467 eV/atom
# DOS(E_F) = 4.131 states/eV/f.u.
# Energy relative to the elements, uncorrected = -1.113 eV per atom
# Crystal system = tetragonal
data_Pr4Sm2Sb3N2
_symmetry_space_group_name_H-M 'P 1'
_symmetry_Int_Tables_number 1
_cell_length_a 4.8437
_cell_length_b 4.8437
_cell_length_c 13.4782
_cell_angle_alpha 100.35
_cell_angle_beta 100.35
_cell_angle_gamma 90.00
loop_
_symmetry_equiv_pos_as_xyz
'x,y,z'
loop_
_atom_site_label
_atom_site_type_symbol
_atom_site_fract_x
_atom_site_fract_y
_atom_site_fract_z
N1 N 0.6069 0.6069 0.2138
Sb1 Sb 0.1801 0.1801 0.3602
Sm1 Sm 0.3066 0.3066 0.6133
Sb2 Sb 0.8199 0.8199 0.6398
Sm2 Sm 0.6934 0.6934 0.3867
Pr1 Pr 0.9165 0.4165 0.8330
Sb3 Sb 0.0000 0.0000 0.0000
Pr2 Pr 0.0835 0.5835 0.1670
Pr3 Pr 0.4165 0.9165 0.8330
Pr4 Pr 0.5835 0.0835 0.1670
N2 N 0.3931 0.3931 0.7862

---

Entry 3:
# PBE PrSmSbN, relaxed
# Magnetic moment = 0.00 Bohr magnetons per cell
# Calculated density = 6.9 g cm⁻³
# Energy = -6.7152 eV/atom
# DOS(E_F) = 0.545 states/eV/f.u.
# Energy relative to the elements, uncorrected = -1.229 eV per atom
# Crystal system = tetragonal
data_PrSmSbN
_symmetry_space_group_name_H-M 'P 1'
_symmetry_Int_Tables_number 1
_cell_length_a 4.7120
_cell_length_b 4.7120
_cell_length_c 9.2140
_cell_angle_alpha 90.00
_cell_angle_beta 90.00
_cell_angle_gamma 90.00
loop_
_symmetry_equiv_pos_as_xyz
'x,y,z'
loop_
_atom_site_label
_atom_site_type_symbol
_atom_site_fract_x
_atom_site_fract_y
_atom_site_fract_z
Pr1 Pr 0.0000 0.0000 0.5000
N1 N 0.0000 0.5000 0.4117
Sm1 Sm 0.0000 0.5000 0.1695
Sb1 Sb 0.5000 0.0000 0.1930
Sb2 Sb 0.0000 0.5000 0.8070
Sm2 Sm 0.5000 0.0000 0.8305
Pr2 Pr 0.5000 0.5000 0.5000
N2 N 0.5000 0.0000 0.5883

---

What did the third record say?
# PBE PrSmSbN, relaxed
# Magnetic moment = 0.00 Bohr magnetons per cell
# Calculated density = 6.9 g cm⁻³
# Energy = -6.7152 eV/atom
# DOS(E_F) = 0.545 states/eV/f.u.
# Energy relative to the elements, uncorrected = -1.229 eV per atom
# Crystal system = tetragonal
data_PrSmSbN
_symmetry_space_group_name_H-M 'P 1'
_symmetry_Int_Tables_number 1
_cell_length_a 4.7120
_cell_length_b 4.7120
_cell_length_c 9.2140
_cell_angle_alpha 90.00
_cell_angle_beta 90.00
_cell_angle_gamma 90.00
loop_
_symmetry_equiv_pos_as_xyz
'x,y,z'
loop_
_atom_site_label
_atom_site_type_symbol
_atom_site_fract_x
_atom_site_fract_y
_atom_site_fract_z
Pr1 Pr 0.0000 0.0000 0.5000
N1 N 0.0000 0.5000 0.4117
Sm1 Sm 0.0000 0.5000 0.1695
Sb1 Sb 0.5000 0.0000 0.1930
Sb2 Sb 0.0000 0.5000 0.8070
Sm2 Sm 0.5000 0.0000 0.8305
Pr2 Pr 0.5000 0.5000 0.5000
N2 N 0.5000 0.0000 0.5883

---

Question: Which value of DOS(E_F) does entry 2 give?
Answer: 4.131 states/eV/f.u.

---

Question: What is the formula in the third record?
Answer: PrSmSbN